Entry 1:
! Na2O (PBE, relaxed); values from VASP
&SYSTEM
  ibrav = 0, nat = 3, ntyp = 2
/
ATOMIC_SPECIES
Na 22.99 Na.upf
O 16.00 O.upf
ATOMIC_POSITIONS crystal
Na 0.7500 0.7500 0.7500
Na 0.2500 0.2500 0.2500
O 0.0000 0.0000 0.0000
CELL_PARAMETERS angstrom
3.9548 0.0000 0.0000
1.9774 3.4250 0.0000
1.9774 1.1417 3.2291
! calculated volume	43.7	Å³/f.u.
! total DFT energy (no corrections)	-11.2	eV per cell
! ΔE_f (raw)	-1207	meV per atom
! magnetic moment	0.018	μB per atom
! SG	No. 225
! mass density	2.35	g/cm³
! crystal system	cubic

***

Entry 2:
! Cu3IBr3 (PBE, relaxed); values from VASP
&SYSTEM
  ibrav = 0, nat = 14, ntyp = 3
/
ATOMIC_SPECIES
Br 79.90 Br.upf
Cu 63.55 Cu.upf
I 126.90 I.upf
ATOMIC_POSITIONS crystal
Br 0.7500 0.8246 0.6494
Br 0.7500 0.3506 0.1753
Br 0.2500 0.1754 0.8247
Br 0.2500 0.6494 0.8247
Br 0.2500 0.1754 0.3506
Br 0.7500 0.8246 0.1753
Cu 0.7500 0.1527 0.8473
Cu 0.2500 0.8473 0.1527
Cu 0.7500 0.6946 0.8473
Cu 0.2500 0.8473 0.6946
Cu 0.7500 0.1527 0.3054
Cu 0.2500 0.3054 0.1527
I 0.7500 0.3333 0.6667
I 0.2500 0.6667 0.3333
CELL_PARAMETERS angstrom
7.5855 0.0000 0.0000
0.0000 8.1510 -0.0089
0.0000 -4.0693 7.0625
! calculated volume	218.2	Å³/f.u.
! total DFT energy (no corrections)	-41.1	eV per cell
! ΔE_f (raw)	-240	meV per atom
! magnetic moment	0.000	μB per atom
! SG	No. 194
! mass density	4.24	g/cm³
! crystal system	hexagonal

***

Entry 3:
! K2Al3CuAu12 (PBE, relaxed); values from VASP
&SYSTEM
  ibrav = 0, nat = 18, ntyp = 4
/
ATOMIC_SPECIES
Au 196.97 Au.upf
Al 26.98 Al.upf
Cu 63.55 Cu.upf
K 39.10 K.upf
ATOMIC_POSITIONS crystal
Au 0.6576 0.6576 0.0106
Au 0.1177 0.1177 0.6516
Au 0.8823 0.8823 0.3484
Au 0.6576 0.0106 0.6576
Au 0.3424 0.3424 0.9894
Au 0.3424 0.9894 0.3424
Au 0.8823 0.3484 0.8823
Au 0.6516 0.1177 0.1177
Au 0.3484 0.8823 0.8823
Au 0.0106 0.6576 0.6576
Au 0.9894 0.3424 0.3424
Au 0.1177 0.6516 0.1177
Al 0.0000 0.0000 0.5000
Al 0.5000 0.0000 0.0000
Al 0.0000 0.5000 0.0000
Cu 0.0000 0.0000 0.0000
K 0.6009 0.6009 0.6009
K 0.3991 0.3991 0.3991
CELL_PARAMETERS angstrom
-3.5111 6.1975 -4.3919
-6.9622 -2.0818 -4.1496
-7.1003 3.0536 3.2073
! calculated volume	458.2	Å³/f.u.
! total DFT energy (no corrections)	-58.4	eV per cell
! magnetic moment	0.000	μB per atom
! SG	No. 166
! DFT formation energy	-8	kJ/mol of atoms
! mass density	9.37	g/cm³
! crystal system	trigonal

***

Entry 4:
! CsGaPb2Cl8 (PBE, relaxed); values from VASP
&SYSTEM
  ibrav = 0, nat = 12, ntyp = 4
/
ATOMIC_SPECIES
Pb 207.20 Pb.upf
Ga 69.72 Ga.upf
Cl 35.45 Cl.upf
Cs 132.91 Cs.upf
ATOMIC_POSITIONS crystal
Pb 0.4635 0.7373 0.2373
Pb 0.5365 0.2627 0.7627
Ga 0.0000 0.0000 0.0000
Cl 0.7602 0.8327 0.9220
Cl 0.7512 0.1137 0.1181
Cl 0.5258 0.2758 0.4605
Cl 0.2398 0.1673 0.0780
Cl 0.0538 0.6653 0.2718
Cl 0.4742 0.7242 0.5395
Cl 0.2488 0.8863 0.8819
Cl 0.9462 0.3347 0.7282
Cs 0.0000 0.0000 0.5000
CELL_PARAMETERS angstrom
-3.4670 3.1574 5.0567
-1.3477 -6.3098 3.2167
5.8443 -3.6353 6.2341
! calculated volume	393.0	Å³/f.u.
! total DFT energy (no corrections)	-41.5	eV per cell
! ΔE_f (raw)	-1285	meV per atom
! magnetic moment	0.000	μB per atom
! SG	No. 2
! mass density	3.81	g/cm³
! crystal system	triclinic

***

Entry 5:
! RbCd3Os (PBE, relaxed); values from VASP
&SYSTEM
  ibrav = 0, nat = 5, ntyp = 3
/
ATOMIC_SPECIES
Cd 112.41 Cd.upf
Os 190.23 Os.upf
Rb 85.47 Rb.upf
ATOMIC_POSITIONS crystal
Cd 0.0000 0.5000 0.0000
Cd 0.0000 0.0000 0.5000
Cd 0.5000 0.0000 0.0000
Os 0.5000 0.5000 0.5000
Rb 0.0000 0.0000 0.0000
CELL_PARAMETERS angstrom
-3.3283 -5.2791 2.5770
2.6734 1.2762 6.0672
-5.2310 4.0112 1.4612
! calculated volume	307.8	Å³/f.u.
! total DFT energy (no corrections)	-5.3	eV per cell
! magnetic moment	0.625	μB per atom
! excess energy over the best structure of this formula in the dataset	1.525	eV per atom
! SG	No. 221
! DFT formation energy	185	kJ/mol of atoms
! mass density	3.31	g/cm³
! crystal system	cubic

***

Entry 6:
! Cs2ScSb (PBE, relaxed); values from VASP
&SYSTEM
  ibrav = 0, nat = 4, ntyp = 3
/
ATOMIC_SPECIES
Sb 121.76 Sb.upf
Cs 132.91 Cs.upf
Sc 44.96 Sc.upf
ATOMIC_POSITIONS crystal
Sb 0.5000 0.5000 0.5000
Cs 0.7500 0.7500 0.7500
Cs 0.2500 0.2500 0.2500
Sc 0.0000 0.0000 0.0000
CELL_PARAMETERS angstrom
-1.2312 -0.5469 6.1749
1.2926 4.7892 3.9163
-4.7106 3.3240 2.5896
! calculated volume	178.5	Å³/f.u.
! total DFT energy (no corrections)	-10.2	eV per cell
! ΔE_f (raw)	495	meV per atom
! magnetic moment	0.256	μB per atom
! excess energy over the best structure of this formula in the dataset	0.508	eV per atom
! SG	No. 225
! mass density	4.02	g/cm³
! crystal system	cubic

***

Entry 7:
! La2Dy7Tm2 (PBE, relaxed); values from VASP
&SYSTEM
  ibrav = 0, nat = 11, ntyp = 3
/
ATOMIC_SPECIES
Dy 162.50 Dy.upf
La 138.91 La.upf
Tm 168.93 Tm.upf
ATOMIC_POSITIONS crystal
Dy 0.1686 0.4174 0.9207
Dy 0.1686 0.9207 0.4174
Dy 0.6238 0.6270 0.6270
Dy 0.8314 0.0793 0.5826
Dy 0.8314 0.5826 0.0793
Dy 0.0000 0.0000 0.0000
Dy 0.3762 0.3730 0.3730
La 0.5000 0.2798 0.7202
La 0.5000 0.7202 0.2798
Tm 0.6982 0.1980 0.1980
Tm 0.3018 0.8020 0.8020
CELL_PARAMETERS angstrom
3.4697 -0.3667 -0.8646
-0.3937 10.4618 1.5510
0.9442 2.8453 10.1499
! calculated volume	360.6	Å³/f.u.
! total DFT energy (no corrections)	-49.5	eV per cell
! magnetic moment	0.000	μB per atom
! excess energy over the best structure of this formula in the dataset	0.000	eV per atom
! SG	No. 12
! DFT formation energy	13	kJ/mol of atoms
! mass density	8.07	g/cm³
! crystal system	monoclinic

***

Entry 8:
! CuRhW2 (PBE, relaxed); values from VASP
&SYSTEM
  ibrav = 0, nat = 4, ntyp = 3
/
ATOMIC_SPECIES
W 183.84 W.upf
Rh 102.91 Rh.upf
Cu 63.55 Cu.upf
ATOMIC_POSITIONS crystal
W 0.5000 0.5000 0.2617
W 0.0000 0.0000 0.0015
Rh 0.5000 0.5000 0.7349
Cu 0.0000 0.0000 0.5018
CELL_PARAMETERS angstrom
3.2225 0.0000 0.0000
0.0000 3.2225 0.0000
0.0000 0.0000 5.6904
! calculated volume	59.1	Å³/f.u.
! total DFT energy (no corrections)	-36.7	eV per cell
! magnetic moment	0.000	μB per atom
! excess energy over the best structure of this formula in the dataset	0.070	eV per atom
! SG	No. 99
! DFT formation energy	15	kJ/mol of atoms
! mass density	15.01	g/cm³
! crystal system	tetragonal

***

Entry 9:
! LaTeSe (PBE, relaxed); values from VASP
&SYSTEM
  ibrav = 0, nat = 3, ntyp = 3
/
ATOMIC_SPECIES
Se 78.96 Se.upf
Te 127.60 Te.upf
La 138.91 La.upf
ATOMIC_POSITIONS crystal
Se 0.7500 0.7500 0.7500
Te 0.0000 0.0000 0.0000
La 0.5000 0.5000 0.5000
CELL_PARAMETERS angstrom
5.1027 0.0000 0.0000
2.5514 4.4191 0.0000
2.5514 1.4730 4.1663
! calculated volume	93.9	Å³/f.u.
! total DFT energy (no corrections)	-14.6	eV per cell
! ΔE_f (raw)	-1028	meV per atom
! magnetic moment	0.000	μB per atom
! excess energy over the best structure of this formula in the dataset	0.549	eV per atom
! SG	No. 216
! mass density	6.11	g/cm³
! crystal system	cubic

***

Entry 10:
! La2TbSb (PBE, relaxed); values from VASP
&SYSTEM
  ibrav = 0, nat = 8, ntyp = 3
/
ATOMIC_SPECIES
La 138.91 La.upf
Tb 158.93 Tb.upf
Sb 121.76 Sb.upf
ATOMIC_POSITIONS crystal
La 0.0467 0.7500 0.1284
La 0.4211 0.7500 0.8582
La 0.5789 0.2500 0.1418
La 0.9533 0.2500 0.8716
Tb 0.6968 0.7500 0.3934
Tb 0.3032 0.2500 0.6066
Sb 0.8238 0.7500 0.6523
Sb 0.1762 0.2500 0.3477
CELL_PARAMETERS angstrom
-3.6027 1.7853 2.2812
2.0947 -0.8889 4.0038
6.9714 9.8821 -1.4533
! calculated volume	127.3	Å³/f.u.
! total DFT energy (no corrections)	-41.6	eV per cell
! ΔE_f (raw)	-542	meV per atom
! magnetic moment	0.000	μB per atom
! excess energy over the best structure of this formula in the dataset	0.032	eV per atom
! SG	No. 11
! mass density	7.29	g/cm³
! crystal system	monoclinic

***

Entry 11:
! LaErHgIr (PBE, relaxed); values from VASP
&SYSTEM
  ibrav = 0, nat = 4, ntyp = 4
/
ATOMIC_SPECIES
Ir 192.22 Ir.upf
Er 167.26 Er.upf
Hg 200.59 Hg.upf
La 138.91 La.upf
ATOMIC_POSITIONS crystal
Ir 0.0000 0.0000 0.0000
Er 0.7500 0.7500 0.7500
Hg 0.5000 0.5000 0.5000
La 0.2500 0.2500 0.2500
CELL_PARAMETERS angstrom
5.1523 0.0000 0.0000
2.5762 4.4620 0.0000
2.5762 1.4873 4.2068
! calculated volume	96.7	Å³/f.u.
! total DFT energy (no corrections)	-20.9	eV per cell
! magnetic moment	0.000	μB per atom
! SG	No. 216
! DFT formation energy	-53	kJ/mol of atoms
! mass density	12.00	g/cm³
! crystal system	cubic

***

Entry 12:
! PuScHgPt (PBE, relaxed); values from VASP
&SYSTEM
  ibrav = 0, nat = 4, ntyp = 4
/
ATOMIC_SPECIES
Hg 200.59 Hg.upf
Sc 44.96 Sc.upf
Pu 244.00 Pu.upf
Pt 195.08 Pt.upf
ATOMIC_POSITIONS crystal
Hg 0.7500 0.7500 0.7500
Sc 0.5000 0.5000 0.5000
Pu 0.0000 0.0000 0.0000
Pt 0.2500 0.2500 0.2500
CELL_PARAMETERS angstrom
-0.1542 -3.4561 -3.6055
1.2952 -4.7199 1.0065
-3.4869 -3.5772 0.1156
! calculated volume	88.2	Å³/f.u.
! total DFT energy (no corrections)	-29.0	eV per cell
! magnetic moment	1.397	μB per atom
! excess energy over the best structure of this formula in the dataset	0.151	eV per atom
! SG	No. 216
! DFT formation energy	-48	kJ/mol of atoms
! mass density	12.89	g/cm³
! crystal system	cubic